Entry 1:
A plane-wave DFT calculation with PBE was carried out for AlTl2In after structural relaxation.

a = 7.5575 Å, b = 7.5575 Å, c = 7.5575 Å
α = 90.00°, β = 90.00°, γ = 90.00°
Sites, in units of the cell vectors:
Al 0.0000 0.0000 0.0000
Al 0.0000 0.5000 0.5000
Al 0.5000 0.0000 0.5000
Al 0.5000 0.5000 0.0000
Tl 0.0000 0.0000 0.5000
Tl 0.0000 0.5000 0.0000
Tl 0.2500 0.2500 0.7500
Tl 0.2500 0.7500 0.2500
Tl 0.5000 0.0000 0.0000
Tl 0.5000 0.5000 0.5000
Tl 0.7500 0.2500 0.2500
Tl 0.7500 0.7500 0.7500
In 0.2500 0.2500 0.2500
In 0.2500 0.7500 0.7500
In 0.7500 0.2500 0.7500
In 0.7500 0.7500 0.2500

Results
The space group is No. 216. The calculation puts the energy above the lowest structure with this stoichiometry at 60 meV per atom.

***

Entry 2:
A plane-wave DFT calculation with PBE was carried out for AlTl2In2 after structural relaxation.

a = 7.3111 Å, b = 7.3111 Å, c = 5.3544 Å
α = 90.00°, β = 90.00°, γ = 90.00°
Sites, in units of the cell vectors:
Al 0.0000 0.0000 0.0000
Al 0.5000 0.5000 0.0000
Tl 0.1697 0.3303 0.5000
Tl 0.3303 0.8303 0.5000
Tl 0.6697 0.1697 0.5000
Tl 0.8303 0.6697 0.5000
In 0.1441 0.6441 0.0000
In 0.3559 0.1441 0.0000
In 0.6441 0.8559 0.0000
In 0.8559 0.3559 0.0000

Results
The space group is No. 127. The calculation puts the energy above the lowest structure with this stoichiometry at 0 meV per atom.

***

Entry 3:
A plane-wave DFT calculation with PBE was carried out for Al2TlIn after structural relaxation.

a = 3.0969 Å, b = 5.1378 Å, c = 6.0364 Å
α = 90.00°, β = 95.52°, γ = 90.00°
Sites, in units of the cell vectors:
Al 0.0134 0.0000 0.2470
Al 0.9866 0.0000 0.7530
Tl 0.5000 0.5000 0.0000
In 0.0000 0.5000 0.5000

Results
The space group is No. 10. The calculation puts the energy above the lowest structure with this stoichiometry at 110 meV per atom.

***

Entry 4:
A plane-wave DFT calculation with PBE was carried out for Al2TlIn after structural relaxation.

a = 10.8491 Å, b = 3.2199 Å, c = 5.6188 Å
α = 90.00°, β = 107.97°, γ = 90.00°
Sites, in units of the cell vectors:
Al 0.0000 0.0000 0.0000
Al 0.1935 0.5000 0.3119
Al 0.5000 0.5000 0.0000
Al 0.6935 0.0000 0.3119
Tl 0.4549 0.0000 0.4845
Tl 0.9549 0.5000 0.4845
In 0.2436 0.0000 0.8375
In 0.7436 0.5000 0.8375

Results
The space group is No. 8. The calculation puts the energy above the lowest structure with this stoichiometry at 60 meV per atom.

***

Entry 5:
A plane-wave DFT calculation with PBE was carried out for AlTl17In11 after structural relaxation.

a = 10.3688 Å, b = 10.3688 Å, c = 10.3173 Å
α = 109.39°, β = 109.39°, γ = 109.75°
Sites, in units of the cell vectors:
Al 0.0000 0.0000 0.0000
Tl 0.1049 0.4993 0.8723
Tl 0.1408 0.8259 0.8020
Tl 0.1438 0.4266 0.1951
Tl 0.1809 0.8228 0.1902
Tl 0.2115 0.2115 0.9124
Tl 0.2209 0.5402 0.5905
Tl 0.4266 0.1438 0.1951
Tl 0.4288 0.8245 0.5139
Tl 0.4598 0.4598 0.8335
Tl 0.4993 0.1049 0.8723
Tl 0.5044 0.5044 0.4828
Tl 0.5402 0.2209 0.5905
Tl 0.8228 0.1809 0.1902
Tl 0.8227 0.8227 0.1903
Tl 0.8234 0.8234 0.5527
Tl 0.8245 0.4288 0.5139
Tl 0.8259 0.1408 0.8020
In 0.0075 0.1910 0.5575
In 0.0120 0.6457 0.3810
In 0.1785 0.1785 0.3455
In 0.1910 0.0075 0.5575
In 0.4532 0.8213 0.0037
In 0.4560 0.6357 0.1937
In 0.6357 0.4560 0.1937
In 0.6440 0.8291 0.8319
In 0.6457 0.0120 0.3810
In 0.8213 0.4532 0.0037
In 0.8291 0.6440 0.8319

Results
The space group is No. 8.

***

Entry 6:
A plane-wave DFT calculation with PBE was carried out for AlTl2In after structural relaxation.

a = 10.6813 Å, b = 3.4439 Å, c = 5.9869 Å
α = 90.00°, β = 102.96°, γ = 90.00°
Sites, in units of the cell vectors:
Al 0.0000 0.0000 0.0000
Al 0.5000 0.5000 0.0000
Tl 0.0056 0.5000 0.5207
Tl 0.2397 0.5000 0.2479
Tl 0.5056 0.0000 0.5207
Tl 0.7397 0.0000 0.2479
In 0.2659 0.0000 0.7886
In 0.7659 0.5000 0.7886

Results
The space group is No. 8. The calculation puts the energy above the lowest structure with this stoichiometry at 52 meV per atom.

***

Entry 7:
A plane-wave DFT calculation with PBE was carried out for AlTl2In after structural relaxation.

a = 4.5962 Å, b = 4.5962 Å, c = 10.1353 Å
α = 90.00°, β = 90.00°, γ = 90.00°
Sites, in units of the cell vectors:
Al 0.0000 0.0000 0.0000
Al 0.5000 0.5000 0.5000
Tl 0.0000 0.0000 0.5000
Tl 0.0000 0.5000 0.2500
Tl 0.5000 0.0000 0.7500
Tl 0.5000 0.5000 0.0000
In 0.0000 0.5000 0.7500
In 0.5000 0.0000 0.2500

Results
The space group is No. 119. The calculation puts the energy above the lowest structure with this stoichiometry at 77 meV per atom.

***

Entry 8:
A plane-wave DFT calculation with PBE was carried out for AlTl2In after structural relaxation.

a = 3.4361 Å, b = 3.4361 Å, c = 9.0293 Å
α = 90.00°, β = 90.00°, γ = 90.00°
Sites, in units of the cell vectors:
Al 0.0000 0.0000 0.0000
Tl 0.5000 0.5000 0.2253
Tl 0.5000 0.5000 0.7747
In 0.0000 0.0000 0.5000

Results
The space group is No. 123. The calculation puts the energy above the lowest structure with this stoichiometry at 48 meV per atom.

***

Entry 9:
A plane-wave DFT calculation with PBE was carried out for AlTl2In after structural relaxation.

a = 3.3907 Å, b = 5.5495 Å, c = 11.4646 Å
α = 90.00°, β = 90.00°, γ = 90.00°
Sites, in units of the cell vectors:
Al 0.0000 0.0000 0.0000
Al 0.5000 0.5000 0.5000
Tl 0.0000 0.0000 0.4898
Tl 0.0000 0.5000 0.2718
Tl 0.5000 0.0000 0.7718
Tl 0.5000 0.5000 0.9898
In 0.0000 0.5000 0.7145
In 0.5000 0.0000 0.2145

Results
The space group is No. 44. The calculation puts the energy above the lowest structure with this stoichiometry at 51 meV per atom.

***

Entry 10:
A plane-wave DFT calculation with PBE was carried out for Al2TlIn after structural relaxation.

a = 3.2036 Å, b = 3.2036 Å, c = 31.4257 Å
α = 90.00°, β = 90.00°, γ = 120.00°
Sites, in units of the cell vectors:
Al 0.0000 0.0000 0.2468
Al 0.0000 0.0000 0.7532
Al 0.3333 0.6667 0.4199
Al 0.3333 0.6667 0.9134
Al 0.6667 0.3333 0.0866
Al 0.6667 0.3333 0.5801
Tl 0.0000 0.0000 0.0000
Tl 0.3333 0.6667 0.6667
Tl 0.6667 0.3333 0.3333
In 0.0000 0.0000 0.5000
In 0.3333 0.6667 0.1667
In 0.6667 0.3333 0.8333

Results
The space group is No. 166. The calculation puts the energy above the lowest structure with this stoichiometry at 72 meV per atom.

***

Entry 11:
A plane-wave DFT calculation with PBE was carried out for AlTl3In after structural relaxation.

a = 5.7572 Å, b = 5.7572 Å, c = 5.7572 Å
α = 90.00°, β = 90.00°, γ = 90.00°
Sites, in units of the cell vectors:
Al 0.0000 0.0000 0.0000
Tl 0.0000 0.5000 0.5000
Tl 0.5000 0.0000 0.5000
Tl 0.5000 0.5000 0.0000
In 0.5000 0.5000 0.5000

Results
The space group is No. 221. The calculation puts the energy above the lowest structure with this stoichiometry at 293 meV per atom.

***

Entry 12:
A plane-wave DFT calculation with PBE was carried out for Al2TlIn after structural relaxation.

a = 3.5021 Å, b = 5.3486 Å, c = 10.0411 Å
α = 90.00°, β = 90.00°, γ = 90.00°
Sites, in units of the cell vectors:
Al 0.0000 0.0000 0.2452
Al 0.0000 0.0000 0.7548
Al 0.5000 0.5000 0.2548
Al 0.5000 0.5000 0.7452
Tl 0.0000 0.5000 0.0000
Tl 0.5000 0.0000 0.5000
In 0.0000 0.5000 0.5000
In 0.5000 0.0000 0.0000

Results
The space group is No. 71. The calculation puts the energy above the lowest structure with this stoichiometry at 123 meV per atom.

***

Entry 13:
A plane-wave DFT calculation with PBE was carried out for AlTlIn3 after structural relaxation.

a = 5.3922 Å, b = 5.3922 Å, c = 5.3922 Å
α = 90.00°, β = 90.00°, γ = 90.00°
Sites, in units of the cell vectors:
Al 0.0000 0.0000 0.0000
Tl 0.5000 0.5000 0.5000
In 0.0000 0.0000 0.5000
In 0.0000 0.5000 0.0000
In 0.5000 0.0000 0.0000

Results
The space group is No. 221. The calculation puts the energy above the lowest structure with this stoichiometry at 0 meV per atom.

***

Entry 14:
A plane-wave DFT calculation with PBE was carried out for Al2Tl2In after structural relaxation.

a = 7.2595 Å, b = 7.2595 Å, c = 4.8788 Å
α = 90.00°, β = 90.00°, γ = 90.00°
Sites, in units of the cell vectors:
Al 0.1294 0.3706 0.0000
Al 0.3706 0.8706 0.0000
Al 0.6294 0.1294 0.0000
Al 0.8706 0.6294 0.0000
Tl 0.1768 0.6768 0.5000
Tl 0.3232 0.1768 0.5000
Tl 0.6768 0.8232 0.5000
Tl 0.8232 0.3232 0.5000
In 0.0000 0.0000 0.0000
In 0.5000 0.5000 0.0000

Results
The space group is No. 127. The calculation puts the energy above the lowest structure with this stoichiometry at 0 meV per atom.

***

| no. | density of states at the Fermi level (states/eV/cell) | formation energy from the elements (kJ/mol of atoms) |
| --- | --- | --- |
| 1 | 5.7 | 17 |
| 2 | 5.9 | 14 |
| 3 | 1.7 | 26 |
| 4 | 3.8 | 21 |
| 5 | 10.8 | 3 |
| 6 | 2.8 | 16 |
| 7 | 3.6 | 18 |
| 8 | 1.4 | 16 |
| 9 | 3.3 | 16 |
| 10 | 4.4 | 22 |
| 11 | 5.3 | 57 |
| 12 | 3.6 | 27 |
| 13 | 3.8 | 26 |
| 14 | 5.9 | 18 |